Record 1
VASP calculation (PBEsol) on a relaxed CdHgTe2 crystal.

Summary:
V, Å³/cell: 106
DFT total energy, eV for the cell shown: -9.12
Formation energy from raw total energies, eV/atom: -0.08
Density, g/cm³: 8.92
Total magnetization, μB/cell: 0.000

The structure in POSCAR format:
```
CdHgTe2
1.0
-2.5636 -1.9053 0.5991
2.4018 -4.2793 -2.6229
2.4476 -1.7108 5.0324
Hg Te Cd
1 2 1
direct
0.1746 0.1250 0.5000
0.5462 0.6220 0.5000
0.0624 0.1243 0.0000
0.7168 0.6287 0.0000
```


Record 2
VASP calculation (PBEsol) on a relaxed LiTl2Ga2 crystal.

Summary:
Energy of formation from the pure elements, eV/f.u.: 0.30
V, Å³/cell: 125
DFT total energy, eV for the cell shown: -13.61
Density, g/cm³: 7.35
Total magnetization, μB/cell: 0.000

The structure in POSCAR format:
```
LiTl2Ga2
1.0
4.7104 0.0000 0.0000
0.0000 4.7104 0.0000
-2.3552 -2.3552 5.6517
Li Tl Ga
1 2 2
direct
0.0000 0.0000 0.0000
0.7500 0.2500 0.5000
0.2500 0.7500 0.5000
0.3932 0.3932 0.7864
0.6068 0.6068 0.2136
```


Record 3
VASP calculation (PBEsol) on a relaxed NbZn3Ga3 crystal.

Summary:
Energy of formation from the pure elements, eV/f.u.: -1.41
V, Å³/cell: 115
DFT total energy, eV for the cell shown: -27.00
Density, g/cm³: 7.18
Total magnetization, μB/cell: 0.000

The structure in POSCAR format:
```
NbZn3Ga3
1.0
5.3846 0.0000 0.0000
2.6923 4.6632 0.0000
2.6923 1.5544 4.5892
Zn Nb Ga
3 1 3
direct
0.5000 0.0000 0.5000
0.0000 0.5000 0.5000
0.0000 0.0000 0.5000
0.0000 0.0000 0.0000
0.5000 0.0000 0.0000
0.0000 0.5000 0.0000
0.5000 0.5000 0.0000
```


Record 4
VASP calculation (PBEsol) on a relaxed Na2PHO3 crystal.

Summary:
V, Å³/cell: 338
DFT total energy, eV for the cell shown: -161.95
Density, g/cm³: 2.48
Total magnetization, μB/cell: 0.000

The structure in POSCAR format:
```
Na2PHO3
1.0
-1.9189 4.3771 1.5439
-3.6661 0.4716 -5.8936
-7.1848 -5.0615 4.0643
H Na O P
4 8 12 4
direct
0.6634 0.5667 0.5860
0.8366 0.0667 0.9140
0.3366 0.4333 0.4140
0.1634 0.9333 0.0860
0.7268 0.0627 0.2545
0.2268 0.4373 0.7545
0.2241 0.3080 0.1049
0.7732 0.5627 0.2455
0.7241 0.1920 0.6049
0.7759 0.6920 0.8951
0.2759 0.8080 0.3951
0.2732 0.9373 0.7455
0.3892 0.1856 0.9023
0.7468 0.3108 0.0751
0.2222 0.6250 0.1862
0.8892 0.3144 0.4023
0.2778 0.1250 0.3138
0.7778 0.3750 0.8138
0.2532 0.6892 0.9249
0.1108 0.6856 0.5977
0.6108 0.8144 0.0977
0.7532 0.8108 0.4249
0.7222 0.8750 0.6862
0.2468 0.1892 0.5751
0.1841 0.2624 0.4270
0.8159 0.7376 0.5730
0.3159 0.7624 0.0730
0.6841 0.2376 0.9270
```


Record 5
VASP calculation (PBEsol) on a relaxed SrGePt crystal.

Summary:
Energy of formation from the pure elements, eV/f.u.: -2.66
V, Å³/cell: 286
DFT total energy, eV for the cell shown: -65.61
Density, g/cm³: 8.26
Total magnetization, μB/cell: 0.000

The structure in POSCAR format:
```
SrGePt
1.0
6.5855 0.0000 0.0000
0.0000 6.5855 0.0000
0.0000 0.0000 6.5855
Sr Pt Ge
4 4 4
direct
0.6325 0.3675 0.8675
0.8675 0.6325 0.3675
0.3675 0.8675 0.6325
0.1325 0.1325 0.1325
0.9179 0.0821 0.5821
0.5821 0.9179 0.0821
0.0821 0.5821 0.9179
0.4179 0.4179 0.4179
0.1662 0.3338 0.6662
0.6662 0.1662 0.3338
0.3338 0.6662 0.1662
0.8338 0.8338 0.8338
```


Record 6
VASP calculation (PBEsol) on a relaxed TlSnAsBr2 crystal.

Summary:
V, Å³/cell: 159
DFT total energy, eV for the cell shown: -14.26
Formation energy from raw total energies, eV/atom: 0.30
Density, g/cm³: 5.82
Total magnetization, μB/cell: 0.001

The structure in POSCAR format:
```
TlSnAsBr2
1.0
5.4076 0.0000 0.0000
0.0000 5.4255 0.0000
0.0000 0.0000 5.4255
As Sn Br Tl
1 1 2 1
direct
0.5000 0.0000 0.0000
0.5000 0.5000 0.5000
0.0000 0.5000 0.0000
0.0000 0.0000 0.5000
0.0000 0.0000 0.0000
```